1.
Material: V3Cd
Method: DFT, PBE-GGA
State: relaxed

a = 4.951 Å, b = 4.951 Å, c = 4.951 Å
α = 90.00°, β = 90.00°, γ = 90.00°
Positions (direct):
V 0.000 0.250 0.500
V 0.000 0.750 0.500
V 0.250 0.500 0.000
V 0.500 0.000 0.250
V 0.500 0.000 0.750
V 0.750 0.500 0.000
Cd 0.000 0.000 0.000
Cd 0.500 0.500 0.500

Values from the calculation:
ΔE_f: 0.328 eV per atom
calculated volume: 121 Å³/cell
ρ: 7.3 g cm⁻³
spin magnetization: 0.46 μB per atom
N(E_F): 5.3 states/eV/f.u.
symmetry: Pm-3n (223)
energy above the lowest structure with this stoichiometry: 0 meV per atom

***

2.
Material: LaTaAu2
Method: DFT, PBE-GGA
State: relaxed

a = 5.054 Å, b = 5.054 Å, c = 3.453 Å
α = 90.00°, β = 90.00°, γ = 90.00°
Positions (direct):
La 0.000 0.000 0.000
Ta 0.500 0.500 0.000
Au 0.000 0.500 0.500
Au 0.500 0.000 0.500

Values from the calculation:
ΔE_f: -0.062 eV per atom
calculated volume: 88 Å³/cell
ρ: 13.4 g cm⁻³
spin magnetization: 0.43 μB per atom
N(E_F): 3.3 states/eV/f.u.
symmetry: P4/mmm (123)
energy above the lowest structure with this stoichiometry: 141 meV per atom